No. 1
The following is a DFT calculation (PBE-GGA) of crystalline Pm3Ga2Si at its relaxed geometry.

Values from the calculation:
**M_tot**: 0.00 μB/f.u.
**Uncorrected formation energy**: -0.607 eV per atom
**Fermi-level density of states**: 0.86 states/eV per atom
**ΔE to the lowest computed polymorph**: 0 meV/atom

abc: 12.1338 4.0982 12.3185
angles: 90.00 90.00 90.00
Positions (direct):
1 Pm 0.0632 0.2500 0.1227
2 Pm 0.1161 0.7500 0.5528
3 Pm 0.2083 0.2500 0.7881
4 Pm 0.2917 0.7500 0.2881
5 Pm 0.3839 0.2500 0.0528
6 Pm 0.4368 0.7500 0.6227
7 Pm 0.5632 0.2500 0.3773
8 Pm 0.6161 0.7500 0.9472
9 Pm 0.7083 0.2500 0.7119
10 Pm 0.7917 0.7500 0.2119
11 Pm 0.8839 0.2500 0.4472
12 Pm 0.9368 0.7500 0.8773
13 Ga 0.0230 0.7500 0.3100
14 Ga 0.1899 0.7500 0.9858
15 Ga 0.3101 0.2500 0.4858
16 Ga 0.4770 0.2500 0.8100
17 Ga 0.5230 0.7500 0.1900
18 Ga 0.6899 0.7500 0.5142
19 Ga 0.8101 0.2500 0.0142
20 Ga 0.9770 0.2500 0.6900
21 Si 0.1317 0.2500 0.3696
22 Si 0.3683 0.7500 0.8696
23 Si 0.6317 0.2500 0.1304
24 Si 0.8683 0.7500 0.6304

---

No. 2
The following is a DFT calculation (PBE-GGA) of crystalline Pm5Ga2Si at its relaxed geometry.

Values from the calculation:
**M_tot**: 0.00 μB/f.u.
**Uncorrected formation energy**: -0.490 eV per atom
**Fermi-level density of states**: 1.03 states/eV per atom

abc: 8.9564 8.9564 8.9564
angles: 128.18 128.18 76.33
Positions (direct):
1 Pm 0.0000 0.0000 0.0000
2 Pm 0.0228 0.5228 0.8471
3 Pm 0.1757 0.0228 0.5000
4 Pm 0.3243 0.8243 0.8471
5 Pm 0.4772 0.3243 0.5000
6 Pm 0.5000 0.5000 0.0000
7 Pm 0.5228 0.6757 0.5000
8 Pm 0.6757 0.1757 0.1529
9 Pm 0.8243 0.9772 0.5000
10 Pm 0.9772 0.4772 0.1529
11 Ga 0.1188 0.3812 0.5000
12 Ga 0.3812 0.8812 0.2625
13 Ga 0.6188 0.1188 0.7375
14 Ga 0.8812 0.6188 0.5000
15 Si 0.2500 0.2500 0.0000
16 Si 0.7500 0.7500 0.0000

---

No. 3
The following is a DFT calculation (PBE-GGA) of crystalline Pm2GaSi2 at its relaxed geometry.

Values from the calculation:
**M_tot**: 0.00 μB/f.u.
**Uncorrected formation energy**: -0.694 eV per atom
**Fermi-level density of states**: 0.47 states/eV per atom
**ΔE to the lowest computed polymorph**: 0 meV/atom

abc: 5.8762 5.8762 10.6668
angles: 114.65 114.65 42.23
Positions (direct):
1 Pm 0.1054 0.1054 0.4074
2 Pm 0.2931 0.2931 0.8533
3 Pm 0.7069 0.7069 0.1467
4 Pm 0.8946 0.8946 0.5926
5 Ga 0.4402 0.4402 0.1922
6 Ga 0.5598 0.5598 0.8078
7 Si 0.0320 0.0320 0.9096
8 Si 0.3808 0.3808 0.3896
9 Si 0.6192 0.6192 0.6104
10 Si 0.9680 0.9680 0.0904

---

No. 4
The following is a DFT calculation (PBE-GGA) of crystalline Pm3Ga3Si at its relaxed geometry.

Values from the calculation:
**M_tot**: 0.48 μB/f.u.
**Uncorrected formation energy**: -0.682 eV per atom
**Fermi-level density of states**: 0.76 states/eV per atom

abc: 9.7591 9.7591 9.7591
angles: 155.48 154.29 35.83
Positions (direct):
1 Pm 0.0000 0.0000 0.0000
2 Pm 0.1801 0.6801 0.5000
3 Pm 0.3675 0.3675 0.0000
4 Ga 0.5405 0.5405 0.0000
5 Ga 0.7482 0.2482 0.5000
6 Ga 0.8254 0.8254 0.0000
7 Si 0.6177 0.1177 0.5000

---

No. 5
The following is a DFT calculation (PBE-GGA) of crystalline Pm3Ga2Si at its relaxed geometry.

Values from the calculation:
**M_tot**: 0.00 μB/f.u.
**Uncorrected formation energy**: -0.494 eV per atom
**Fermi-level density of states**: 0.66 states/eV per atom
**ΔE to the lowest computed polymorph**: 112 meV/atom

abc: 8.2096 8.2096 6.4043
angles: 104.19 104.19 44.57
Positions (direct):
1 Pm 0.1665 0.8335 0.7500
2 Pm 0.2123 0.4430 0.3872
3 Pm 0.4430 0.2123 0.8872
4 Pm 0.5570 0.7877 0.1128
5 Pm 0.7877 0.5570 0.6128
6 Pm 0.8335 0.1665 0.2500
7 Ga 0.0368 0.2749 0.0271
8 Ga 0.2749 0.0368 0.5271
9 Ga 0.7251 0.9632 0.4729
10 Ga 0.9632 0.7251 0.9729
11 Si 0.3253 0.6747 0.2500
12 Si 0.6747 0.3253 0.7500

---

No. 6
The following is a DFT calculation (PBE-GGA) of crystalline Pm3Ga3Si2 at its relaxed geometry.

Values from the calculation:
**M_tot**: 0.00 μB/f.u.
**Uncorrected formation energy**: -0.609 eV per atom
**Fermi-level density of states**: 0.53 states/eV per atom
**ΔE to the lowest computed polymorph**: 71 meV/atom

abc: 5.9749 5.9749 14.9867
angles: 90.00 90.00 139.25
Positions (direct):
1 Pm 0.0521 0.9479 0.6089
2 Pm 0.0521 0.9479 0.8911
3 Pm 0.3386 0.6614 0.7500
4 Pm 0.6614 0.3386 0.2500
5 Pm 0.9479 0.0521 0.1089
6 Pm 0.9479 0.0521 0.3911
7 Ga 0.3544 0.6456 0.5378
8 Ga 0.3544 0.6456 0.9622
9 Ga 0.3860 0.6140 0.2500
10 Ga 0.6140 0.3860 0.7500
11 Ga 0.6456 0.3544 0.0378
12 Ga 0.6456 0.3544 0.4622
13 Si 0.2372 0.7628 0.1156
14 Si 0.2372 0.7628 0.3844
15 Si 0.7628 0.2372 0.6156
16 Si 0.7628 0.2372 0.8844

---

No. 7
The following is a DFT calculation (PBE-GGA) of crystalline Pm2GaSi at its relaxed geometry.

Values from the calculation:
**M_tot**: 0.00 μB/f.u.
**Uncorrected formation energy**: -0.512 eV per atom
**Fermi-level density of states**: 0.52 states/eV per atom

abc: 4.8572 4.8572 4.0563
angles: 90.00 90.00 90.00
Positions (direct):
1 Pm 0.0000 0.5000 0.0000
2 Pm 0.5000 0.0000 0.0000
3 Ga 0.0000 0.0000 0.5000
4 Si 0.5000 0.5000 0.5000

---

No. 8
The following is a DFT calculation (PBE-GGA) of crystalline Pm3GaSi at its relaxed geometry.

Values from the calculation:
**M_tot**: 0.00 μB/f.u.
**Uncorrected formation energy**: -0.466 eV per atom
**Fermi-level density of states**: 0.50 states/eV per atom
**ΔE to the lowest computed polymorph**: 35 meV/atom

abc: 4.5089 7.1694 8.9702
angles: 90.00 90.00 90.00
Positions (direct):
1 Pm 0.2500 0.0129 0.1721
2 Pm 0.2500 0.2500 0.5611
3 Pm 0.2500 0.4871 0.1721
4 Pm 0.7500 0.5129 0.8279
5 Pm 0.7500 0.7500 0.4389
6 Pm 0.7500 0.9871 0.8279
7 Ga 0.2500 0.7500 0.6604
8 Ga 0.7500 0.2500 0.3396
9 Si 0.2500 0.2500 0.8892
10 Si 0.7500 0.7500 0.1108